--- w ---
VASP calculation (GGA-PBE) on VAsSN2 after structural relaxation.

Cell lengths 3.7099, 3.7099, 4.9553 Å; angles 90.00, 90.00, 90.00 degrees
Closest atoms and distances in Å follow each position.
Positions (direct):
S (0.0000, 0.0000, 0.5000)  2 As 2.48, 4 V 2.62
N (0.0000, 0.5000, 0.0000)  2 As 1.85
N (0.5000, 0.0000, 0.0000)  2 As 1.85
As (0.0000, 0.0000, 0.0000)  4 N 1.85
V (0.5000, 0.5000, 0.5000)  4 S 2.62

Total magnetic moment: 2.162 μB/f.u.
D(E_F): 4.0 states/eV per cell


--- x ---
VASP calculation (GGA-PBE) on VAsSN2 after structural relaxation.

Cell lengths 3.7535, 3.7535, 4.9932 Å; angles 90.00, 90.00, 90.00 degrees
Closest atoms and distances in Å follow each position.
Positions (direct):
V (0.0000, 0.0000, 0.0000)  4 N 1.88
N (0.5000, 0.0000, 0.0000)  2 V 1.88
N (0.0000, 0.5000, 0.0000)  2 V 1.88
S (0.0000, 0.0000, 0.5000)  2 V 2.50, 4 As 2.65
As (0.5000, 0.5000, 0.5000)  4 S 2.65

Total magnetic moment: 0.416 μB/f.u.
D(E_F): 3.0 states/eV per cell


Computed stability ranking, most favorable first: x, w


--- w ---
VASP calculation (GGA-PBE) on YAsS2N after structural relaxation.

Cell lengths 4.8318, 4.8318, 3.7781 Å; angles 90.00, 90.00, 90.00 degrees
Closest atoms and distances in Å follow each position.
Positions (direct):
N (0.0000, 0.0000, 0.5000)  2 As 1.89
S (0.5000, 0.0000, 0.0000)  2 As 2.42
S (0.0000, 0.5000, 0.0000)  2 As 2.42
As (0.0000, 0.0000, 0.0000)  2 N 1.89
Y (0.5000, 0.5000, 0.5000)  8 S 3.07, 4 N 3.42

Total magnetic moment: 0.000 μB/f.u.
D(E_F): 1.3 states/eV per cell


--- x ---
VASP calculation (GGA-PBE) on YAsS2N after structural relaxation.

Cell lengths 5.2757, 5.2757, 4.3503 Å; angles 90.00, 90.00, 90.00 degrees
Closest atoms and distances in Å follow each position.
Positions (direct):
S (0.0000, 0.5000, 0.0000)  2 Y 2.64
S (0.5000, 0.0000, 0.0000)  2 Y 2.64
N (0.0000, 0.0000, 0.5000)  2 Y 2.18
Y (0.0000, 0.0000, 0.0000)  2 N 2.18
As (0.5000, 0.5000, 0.5000)  8 S 3.42, 4 N 3.73

Total magnetic moment: 2.126 μB/f.u.
D(E_F): 3.0 states/eV per cell


Computed stability ranking, most favorable first: w, x


--- w ---
VASP calculation (GGA-PBE) on YAsSN2 after structural relaxation.

Cell lengths 4.2733, 4.2733, 5.4854 Å; angles 90.00, 90.00, 90.00 degrees
Closest atoms and distances in Å follow each position.
Positions (direct):
N (0.5000, 0.0000, 0.0000)  2 Y 2.14
N (0.0000, 0.5000, 0.0000)  2 Y 2.14
Y (0.0000, 0.0000, 0.0000)  4 N 2.14
S (0.0000, 0.0000, 0.5000)  2 Y 2.74, 4 As 3.02
As (0.5000, 0.5000, 0.5000)  4 S 3.02

Total magnetic moment: 0.137 μB/f.u.
D(E_F): 4.9 states/eV per cell


--- x ---
VASP calculation (GGA-PBE) on YAsSN2 after structural relaxation.

Cell lengths 3.8998, 3.8998, 4.7885 Å; angles 90.00, 90.00, 90.00 degrees
Closest atoms and distances in Å follow each position.
Positions (direct):
Y (0.5000, 0.5000, 0.5000)  4 S 2.76, 8 N 3.09
As (0.0000, 0.0000, 0.0000)  4 N 1.95
N (0.0000, 0.5000, 0.0000)  2 As 1.95
N (0.5000, 0.0000, 0.0000)  2 As 1.95
S (0.0000, 0.0000, 0.5000)  2 As 2.39

Total magnetic moment: 0.000 μB/f.u.
D(E_F): 0.7 states/eV per cell


Computed stability ranking, most favorable first: x, w


--- w ---
VASP calculation (GGA-PBE) on ZnAsSN2 after structural relaxation.

Cell lengths 3.8813, 3.8813, 5.1954 Å; angles 90.00, 90.00, 90.00 degrees
Closest atoms and distances in Å follow each position.
Positions (direct):
As (0.5000, 0.5000, 0.5000)  4 S 2.74
N (0.5000, 0.0000, 0.0000)  2 Zn 1.94
N (0.0000, 0.5000, 0.0000)  2 Zn 1.94
S (0.0000, 0.0000, 0.5000)  2 Zn 2.60, 4 As 2.74
Zn (0.0000, 0.0000, 0.0000)  4 N 1.94

Total magnetic moment: 2.598 μB/f.u.
D(E_F): 2.3 states/eV per cell


--- x ---
VASP calculation (GGA-PBE) on ZnAsSN2 after structural relaxation.

Cell lengths 3.6133, 3.6133, 5.8285 Å; angles 90.00, 90.00, 90.00 degrees
Closest atoms and distances in Å follow each position.
Positions (direct):
S (0.0000, 0.0000, 0.5000)  4 Zn 2.55
Zn (0.5000, 0.5000, 0.5000)  4 S 2.55
N (0.5000, 0.0000, 0.0000)  2 As 1.81
N (0.0000, 0.5000, 0.0000)  2 As 1.81
As (0.0000, 0.0000, 0.0000)  4 N 1.81

Total magnetic moment: 0.556 μB/f.u.
D(E_F): 2.5 states/eV per cell


Computed stability ranking, most favorable first: x, w


--- w ---
VASP calculation (GGA-PBE) on ZrAsSN2 after structural relaxation.

Cell lengths 3.8567, 3.8567, 4.5957 Å; angles 90.00, 90.00, 90.00 degrees
Closest atoms and distances in Å follow each position.
Positions (direct):
N (0.5000, 0.0000, 0.0000)  2 As 1.93
N (0.0000, 0.5000, 0.0000)  2 As 1.93
As (0.0000, 0.0000, 0.0000)  4 N 1.93
Zr (0.5000, 0.5000, 0.5000)  4 S 2.73, 8 N 3.00
S (0.0000, 0.0000, 0.5000)  2 As 2.30

Total magnetic moment: 0.000 μB/f.u.
D(E_F): 3.0 states/eV per cell


--- x ---
VASP calculation (GGA-PBE) on ZrAsSN2 after structural relaxation.

Cell lengths 4.1126, 4.1126, 5.3078 Å; angles 90.00, 90.00, 90.00 degrees
Closest atoms and distances in Å follow each position.
Positions (direct):
N (0.0000, 0.5000, 0.0000)  2 Zr 2.06
N (0.5000, 0.0000, 0.0000)  2 Zr 2.06
S (0.0000, 0.0000, 0.5000)  2 Zr 2.65, 4 As 2.91
Zr (0.0000, 0.0000, 0.0000)  4 N 2.06
As (0.5000, 0.5000, 0.5000)  4 S 2.91

Total magnetic moment: 0.192 μB/f.u.
D(E_F): 2.7 states/eV per cell


Computed stability ranking, most favorable first: w, x


--- w ---
VASP calculation (GGA-PBE) on Sb3AsN after structural relaxation.

Cell lengths 5.3237, 5.3237, 5.3237 Å; angles 90.00, 90.00, 90.00 degrees
Closest atoms and distances in Å follow each position.
Positions (direct):
Sb (0.0000, 0.5000, 0.0000)  2 As 2.66
Sb (0.5000, 0.0000, 0.0000)  2 As 2.66
Sb (0.0000, 0.0000, 0.5000)  2 As 2.66
N (0.5000, 0.5000, 0.5000)  12 Sb 3.76
As (0.0000, 0.0000, 0.0000)  6 Sb 2.66

Total magnetic moment: 0.000 μB/f.u.
D(E_F): 9.2 states/eV per cell


--- x ---
VASP calculation (GGA-PBE) on Sb3AsN after structural relaxation.

Cell lengths 4.7699, 4.7699, 4.7699 Å; angles 90.00, 90.00, 90.00 degrees
Closest atoms and distances in Å follow each position.
Positions (direct):
Sb (0.0000, 0.5000, 0.0000)  2 N 2.38
Sb (0.5000, 0.0000, 0.0000)  2 N 2.38
Sb (0.0000, 0.0000, 0.5000)  2 N 2.38
N (0.0000, 0.0000, 0.0000)  6 Sb 2.38
As (0.5000, 0.5000, 0.5000)  12 Sb 3.37

Total magnetic moment: 0.000 μB/f.u.
D(E_F): 2.6 states/eV per cell


Computed stability ranking, most favorable first: x, w


--- w ---
VASP calculation (GGA-PBE) on SbAs2N after structural relaxation.

Cell lengths 4.6508, 4.6508, 4.6508 Å; angles 60.00, 60.00, 60.00 degrees
Closest atoms and distances in Å follow each position.
Positions (direct):
N (0.0000, 0.0000, 0.0000)  8 As 2.85
As (0.7500, 0.7500, 0.7500)  4 Sb 2.85, 4 N 2.85
As (0.2500, 0.2500, 0.2500)  4 Sb 2.85, 4 N 2.85
Sb (0.5000, 0.5000, 0.5000)  8 As 2.85

Total magnetic moment: 0.000 μB/f.u.
D(E_F): 2.9 states/eV per cell


--- x ---
VASP calculation (GGA-PBE) on SbAs2N after structural relaxation.

Cell lengths 5.4499, 5.4499, 7.0677 Å; angles 67.32, 67.32, 90.00 degrees
Closest atoms and distances in Å follow each position.
Positions (direct):
As (0.3750, 0.4933, 0.7500)  2 N 2.14
As (0.8750, 0.7567, 0.7500)  2 N 2.14
As (0.2433, 0.6250, 0.2500)  2 N 2.14
As (0.5067, 0.1250, 0.2500)  2 N 2.14
Sb (0.0000, 0.0000, 0.0000)  4 As 2.84
Sb (0.7500, 0.2500, 0.5000)  4 As 2.84
N (0.5000, 0.5000, 0.0000)  4 As 2.14
N (0.2500, 0.7500, 0.5000)  4 As 2.14

Total magnetic moment: 0.000 μB/f.u.
D(E_F): 3.1 states/eV per cell


Computed stability ranking, most favorable first: x, w


--- w ---
VASP calculation (GGA-PBE) on SbAsN2 after structural relaxation.

Cell lengths 5.4156, 5.4156, 5.7917 Å; angles 62.13, 62.13, 90.00 degrees
Closest atoms and distances in Å follow each position.
Positions (direct):
Sb (0.7500, 0.2500, 0.5000)  4 N 2.53
Sb (0.0000, 0.0000, 0.0000)  4 N 2.53
N (0.2156, 0.6250, 0.2500)  2 As 1.94
N (0.3750, 0.4656, 0.7500)  2 As 1.94
N (0.5344, 0.1250, 0.2500)  2 As 1.94
N (0.8750, 0.7844, 0.7500)  2 As 1.94
As (0.2500, 0.7500, 0.5000)  4 N 1.94
As (0.5000, 0.5000, 0.0000)  4 N 1.94

Total magnetic moment: 0.000 μB/f.u.
D(E_F): 1.0 states/eV per cell


--- x ---
VASP calculation (GGA-PBE) on SbAsN2 after structural relaxation.

Cell lengths 4.1773, 4.1773, 4.1773 Å; angles 60.00, 60.00, 60.00 degrees
Closest atoms and distances in Å follow each position.
Positions (direct):
Sb (0.5000, 0.5000, 0.5000)  8 N 2.56
As (0.0000, 0.0000, 0.0000)  8 N 2.56
N (0.7500, 0.7500, 0.7500)  4 As 2.56, 4 Sb 2.56
N (0.2500, 0.2500, 0.2500)  4 Sb 2.56, 4 As 2.56

Total magnetic moment: 0.000 μB/f.u.
D(E_F): 2.5 states/eV per cell


--- y ---
VASP calculation (GGA-PBE) on SbAsN2 after structural relaxation.

Cell lengths 6.9037, 6.9037, 6.9037 Å; angles 26.71, 26.71, 26.71 degrees
Closest atoms and distances in Å follow each position.
Positions (direct):
N (0.1102, 0.1102, 0.1102)  3 Sb 2.16, 1 As 2.20
N (0.8898, 0.8898, 0.8898)  3 Sb 2.16, 1 As 2.20
Sb (0.5000, 0.5000, 0.5000)  6 N 2.16
As (0.0000, 0.0000, 0.0000)  2 N 2.20

Total magnetic moment: 0.000 μB/f.u.
D(E_F): 0.6 states/eV per cell


--- z ---
VASP calculation (GGA-PBE) on SbAsN2 after structural relaxation.

Cell lengths 7.0239, 7.0239, 7.0239 Å; angles 25.42, 25.42, 25.42 degrees
Closest atoms and distances in Å follow each position.
Positions (direct):
As (0.5000, 0.5000, 0.5000)  6 N 2.06
N (0.8839, 0.8839, 0.8839)  3 As 2.06
N (0.1161, 0.1161, 0.1161)  3 As 2.06
Sb (0.0000, 0.0000, 0.0000)  2 N 2.37

Total magnetic moment: 0.000 μB/f.u.
D(E_F): 0.9 states/eV per cell


Computed stability ranking, most favorable first: y, z, w, x